Computed, not measured: a relaxed structure of CdNi5O6 at the PBE+U level of DFT.

Computed properties:
Raw total energy in eV for the cell shown: -55.5

a = 5.3039 Å, b = 5.3039 Å, c = 5.2927 Å
α = 99.70°, β = 99.70°, γ = 119.93°
Last column: nearest neighbours and their distance in Å.
Atoms (fractional coordinates):
Cd (0.0000, 0.0000, 0.0000)  6 O 2.28-2.30
Ni (0.1661, 0.8339, 0.5000)  6 O 2.05-2.20
Ni (0.3330, 0.6670, 0.0000)  6 O 2.14-2.17
Ni (0.5000, 0.5000, 0.5000)  6 O 2.04-2.19
Ni (0.6670, 0.3330, 0.0000)  6 O 2.14-2.17
Ni (0.8339, 0.1661, 0.5000)  6 O 2.05-2.20
O (0.0869, 0.4416, 0.2581)  5 Ni 2.05-2.20, 1 Cd 2.28
O (0.2653, 0.2653, 0.7352)  5 Ni 2.04-2.17
O (0.4416, 0.0869, 0.2581)  5 Ni 2.05-2.20, 1 Cd 2.28
O (0.5584, 0.9131, 0.7419)  5 Ni 2.05-2.20, 1 Cd 2.28
O (0.7347, 0.7347, 0.2648)  5 Ni 2.04-2.17
O (0.9131, 0.5584, 0.7419)  5 Ni 2.05-2.20, 1 Cd 2.28